A plane-wave DFT calculation with GGA-PBE was carried out for a geometry-optimized CrTeIBr2 structure.

Output
Its uncorrected formation energy is 0.028 eV/atom. The value obtained for the calculated volume is 135.2 Å³/cell.

Cell lengths 4.795, 4.795, 5.881 Å; angles 90.00, 90.00, 90.00 degrees
Fractional coordinates of all 5 atoms:
Cr 0.000 0.000 0.000
Te 0.500 0.500 0.500
I 0.000 0.000 0.500
Br 0.000 0.500 0.000
Br 0.500 0.000 0.000